No. 1
# PrHfPd6 (PBE-GGA, relaxed)
# Fermi-level density of states: 0.885 states/eV/cell
# formation energy from the elements: -0.82 eV per atom
data_PrHfPd6
_chemical_formula_sum 'Pr1 Hf1 Pd6'
_space_group_name_H-M_alt 'P 4/m m m'
_space_group_IT_number 123
_space_group_name_Hall '-P 4 2'
_cell_length_a 4.114
_cell_length_b 4.114
_cell_length_c 8.234
_cell_angle_alpha 90.00
_cell_angle_beta 90.00
_cell_angle_gamma 90.00
loop_
_atom_site_label
_atom_site_fract_x
_atom_site_fract_y
_atom_site_fract_z
Pr1 0.000 0.000 0.000
Hf1 0.000 0.000 0.500
Pd1 0.000 0.500 0.267
Pd2 0.500 0.500 0.000
Pd3 0.500 0.500 0.500



No. 2
# RbTl2Ni2 (PBE-GGA, relaxed)
# Fermi-level density of states: 7.529 states/eV/cell
# distance to the lowest polymorph of the same formula: 1.16 eV/f.u.
# formation energy from the elements: 0.39 eV per atom
data_RbTl2Ni2
_chemical_formula_sum 'Rb2 Tl4 Ni4'
_space_group_name_H-M_alt 'P 4/m b m'
_space_group_IT_number 127
_space_group_name_Hall '-P 4 2ab'
_cell_length_a 8.375
_cell_length_b 8.375
_cell_length_c 3.088
_cell_angle_alpha 90.00
_cell_angle_beta 90.00
_cell_angle_gamma 90.00
loop_
_atom_site_label
_atom_site_fract_x
_atom_site_fract_y
_atom_site_fract_z
Rb1 0.000 0.000 0.000
Tl1 0.142 0.358 0.500
Ni1 0.146 0.646 0.000



No. 3
# CuTcW2 (PBE-GGA, relaxed)
# Fermi-level density of states: 3.522 states/eV/cell
# distance to the lowest polymorph of the same formula: 0.00 eV/f.u.
# formation energy from the elements: 0.20 eV per atom
data_CuTcW2
_chemical_formula_sum 'Cu1 Tc1 W2'
_space_group_name_H-M_alt 'P 4/m m m'
_space_group_IT_number 123
_space_group_name_Hall '-P 4 2'
_cell_length_a 3.889
_cell_length_b 3.889
_cell_length_c 3.893
_cell_angle_alpha 90.00
_cell_angle_beta 90.00
_cell_angle_gamma 90.00
loop_
_atom_site_label
_atom_site_fract_x
_atom_site_fract_y
_atom_site_fract_z
Cu1 0.000 0.000 0.000
Tc1 0.500 0.500 0.000
W1 0.000 0.500 0.500



No. 4
# SrY2Ni2 (PBE-GGA, relaxed)
# Fermi-level density of states: 8.760 states/eV/cell
# distance to the lowest polymorph of the same formula: 0.00 eV/f.u.
# formation energy from the elements: -0.14 eV per atom
data_SrY2Ni2
_chemical_formula_sum 'Sr2 Y4 Ni4'
_space_group_name_H-M_alt 'P 4/m b m'
_space_group_IT_number 127
_space_group_name_Hall '-P 4 2ab'
_cell_length_a 7.937
_cell_length_b 7.937
_cell_length_c 3.831
_cell_angle_alpha 90.00
_cell_angle_beta 90.00
_cell_angle_gamma 90.00
loop_
_atom_site_label
_atom_site_fract_x
_atom_site_fract_y
_atom_site_fract_z
Sr1 0.000 0.000 0.000
Y1 0.153 0.347 0.500
Ni1 0.117 0.617 0.000



No. 5
# ReAs (PBE-GGA, relaxed)
# Fermi-level density of states: 5.224 states/eV/cell
# distance to the lowest polymorph of the same formula: 0.35 eV/f.u.
# formation energy from the elements: 0.25 eV per atom
data_ReAs
_chemical_formula_sum 'Re4 As4'
_space_group_name_H-M_alt 'C 1 m 1'
_space_group_IT_number 8
_space_group_name_Hall 'C -2y'
_cell_length_a 8.943
_cell_length_b 3.044
_cell_length_c 4.769
_cell_angle_alpha 90.00
_cell_angle_beta 100.29
_cell_angle_gamma 90.00
loop_
_atom_site_label
_atom_site_fract_x
_atom_site_fract_y
_atom_site_fract_z
Re1 0.000 0.000 0.000
Re2 0.100 0.500 0.540
As1 0.264 0.000 0.922
As2 0.375 0.500 0.444



No. 6
# Pa2MnRe3 (PBE-GGA, relaxed)
# Fermi-level density of states: 14.640 states/eV/cell
# formation energy from the elements: -0.15 eV per atom
data_Pa2MnRe3
_chemical_formula_sum 'Pa4 Mn2 Re6'
_space_group_name_H-M_alt 'C 1 2/m 1'
_space_group_IT_number 12
_space_group_name_Hall '-C 2y'
_cell_length_a 8.851
_cell_length_b 5.549
_cell_length_c 5.315
_cell_angle_alpha 90.00
_cell_angle_beta 122.97
_cell_angle_gamma 90.00
loop_
_atom_site_label
_atom_site_fract_x
_atom_site_fract_y
_atom_site_fract_z
Pa1 0.120 0.000 0.377
Mn1 0.000 0.500 0.500
Re1 0.000 0.500 0.000
Re2 0.250 0.250 0.000



No. 7
# Dy4Cu3Hg (PBE-GGA, relaxed)
# Fermi-level density of states: 5.399 states/eV/cell
# distance to the lowest polymorph of the same formula: 0.00 eV/f.u.
# formation energy from the elements: -0.29 eV per atom
data_Dy4Cu3Hg
_chemical_formula_sum 'Dy4 Cu3 Hg1'
_space_group_name_H-M_alt 'P m m m'
_space_group_IT_number 47
_space_group_name_Hall '-P 2 2'
_cell_length_a 3.538
_cell_length_b 5.036
_cell_length_c 9.972
_cell_angle_alpha 90.00
_cell_angle_beta 90.00
_cell_angle_gamma 90.00
loop_
_atom_site_label
_atom_site_fract_x
_atom_site_fract_y
_atom_site_fract_z
Dy1 0.000 0.000 0.000
Dy2 0.000 0.000 0.500
Dy3 0.000 0.500 0.236
Cu1 0.500 0.000 0.248
Cu2 0.500 0.500 0.000
Hg1 0.500 0.500 0.500



No. 8
# ScPd12Au7 (PBE-GGA, relaxed)
# Fermi-level density of states: 42.694 states/eV/cell
# formation energy from the elements: -0.15 eV per atom
data_ScPd12Au7
_chemical_formula_sum 'Sc3 Pd36 Au21'
_space_group_name_H-M_alt 'R -3'
_space_group_IT_number 148
_space_group_name_Hall '-R 3'
_cell_length_a 11.9377
_cell_length_b 11.9377
_cell_length_c 8.2907
_cell_angle_alpha 90.00
_cell_angle_beta 90.00
_cell_angle_gamma 120.00
loop_
_atom_site_label
_atom_site_fract_x
_atom_site_fract_y
_atom_site_fract_z
Sc1 0.0000 0.0000 0.0000
Pd1 0.0552 0.8169 0.0822
Pd2 0.0612 0.8174 0.4163
Au1 0.0000 0.0000 0.5000
Au2 0.0549 0.8346 0.7493



No. 9
# GaCu3Au3 (PBE-GGA, relaxed)
# Fermi-level density of states: 10.417 states/eV/cell
# distance to the lowest polymorph of the same formula: 0.33 eV/f.u.
# formation energy from the elements: -0.02 eV per atom
data_GaCu3Au3
_chemical_formula_sum 'Ga4 Cu12 Au12'
_space_group_name_H-M_alt 'P 21 3'
_space_group_IT_number 198
_space_group_name_Hall 'P 2ac 2ab 3'
_cell_length_a 7.642
_cell_length_b 7.642
_cell_length_c 7.642
_cell_angle_alpha 90.00
_cell_angle_beta 90.00
_cell_angle_gamma 90.00
loop_
_atom_site_label
_atom_site_fract_x
_atom_site_fract_y
_atom_site_fract_z
Ga1 0.038 0.462 0.538
Cu1 0.132 0.632 0.868
Cu2 0.162 0.838 0.338
Cu3 0.169 0.169 0.169
Au1 0.026 0.305 0.875



No. 10
# PuNpAl4 (PBE-GGA, relaxed)
# Fermi-level density of states: 86.116 states/eV/cell
# formation energy from the elements: -0.21 eV per atom
data_PuNpAl4
_chemical_formula_sum 'Pu4 Np4 Al16'
_space_group_name_H-M_alt 'F -4 3 m'
_space_group_IT_number 216
_space_group_name_Hall 'F -4 2 3'
_cell_length_a 7.727
_cell_length_b 7.727
_cell_length_c 7.727
_cell_angle_alpha 90.00
_cell_angle_beta 90.00
_cell_angle_gamma 90.00
loop_
_atom_site_label
_atom_site_fract_x
_atom_site_fract_y
_atom_site_fract_z
Pu1 0.000 0.000 0.000
Np1 0.250 0.250 0.750
Al1 0.125 0.125 0.375



No. 11
# PmEr2Tm3Bi6 (PBE-GGA, relaxed)
# Fermi-level density of states: 3.980 states/eV/cell
# formation energy from the elements: -0.82 eV per atom
data_PmEr2Tm3Bi6
_chemical_formula_sum 'Pm2 Er4 Tm6 Bi12'
_space_group_name_H-M_alt 'C 1 2/m 1'
_space_group_IT_number 12
_space_group_name_Hall '-C 2y'
_cell_length_a 19.444
_cell_length_b 4.462
_cell_length_c 8.925
_cell_angle_alpha 90.00
_cell_angle_beta 103.20
_cell_angle_gamma 90.00
loop_
_atom_site_label
_atom_site_fract_x
_atom_site_fract_y
_atom_site_fract_z
Pm1 0.000 0.000 0.000
Er1 0.167 0.500 0.333
Tm1 0.000 0.000 0.500
Tm2 0.165 0.500 0.832
Bi1 0.001 0.500 0.257
Bi2 0.166 0.000 0.583
Bi3 0.170 0.000 0.084



No. 12
# Ni3WSe (PBE-GGA, relaxed)
# Fermi-level density of states: 5.903 states/eV/cell
# distance to the lowest polymorph of the same formula: 2.16 eV/f.u.
# formation energy (no corrections): 1.4545 eV per atom
data_Ni3WSe
_chemical_formula_sum 'Ni3 W1 Se1'
_space_group_name_H-M_alt 'P m -3 m'
_space_group_IT_number 221
_space_group_name_Hall '-P 4 2 3'
_cell_length_a 4.549
_cell_length_b 4.549
_cell_length_c 4.549
_cell_angle_alpha 90.00
_cell_angle_beta 90.00
_cell_angle_gamma 90.00
loop_
_atom_site_label
_atom_site_fract_x
_atom_site_fract_y
_atom_site_fract_z
Ni1 0.000 0.000 0.500
W1 0.000 0.000 0.000
Se1 0.500 0.500 0.500



no.,calculated volume (Å³ per cell),mass density (kg/m³),VASP energy (eV per cell)
1,139.3,11415,-52.5
2,216.6,9379,-30.6
3,58.9,14928,-39.6
4,241.4,5268,-53.7
5,127.7,13581,-66.4
6,219.0,16314,-132.8
7,177.6,9733,-33.3
8,1023.2,13149,-283.5
9,446.3,12670,-101.1
10,461.4,8479,-174.0
11,753.9,9868,-120.7
12,94.1,7744,-26.5